[1]
GdFeB4, optimized geometry, DFT PBE; symmetry = Pbam; electronic total energy = -7.19 eV per atom
1.0
5.914 0.000 0.000
0.000 11.442 0.000
0.000 0.000 3.404
Gd Fe B
4 4 16
direct
0.126 0.150 0.000
0.374 0.650 0.000
0.626 0.350 0.000
0.874 0.850 0.000
0.132 0.412 0.000
0.368 0.912 0.000
0.632 0.088 0.000
0.868 0.588 0.000
0.024 0.689 0.500
0.111 0.545 0.500
0.140 0.968 0.500
0.219 0.817 0.500
0.281 0.317 0.500
0.360 0.468 0.500
0.389 0.045 0.500
0.476 0.189 0.500
0.524 0.811 0.500
0.611 0.955 0.500
0.640 0.532 0.500
0.719 0.683 0.500
0.781 0.183 0.500
0.860 0.032 0.500
0.889 0.455 0.500
0.976 0.311 0.500

---

[2]
GdFe4B, optimized geometry, DFT PBE; symmetry = P6/mmm; electronic total energy = -7.64 eV per atom
1.0
5.081 0.000 0.000
-2.540 4.400 0.000
0.000 0.000 7.014
Gd Fe B
2 8 2
direct
0.000 0.000 0.000
0.000 0.000 0.500
0.000 0.500 0.213
0.000 0.500 0.787
0.333 0.667 0.500
0.500 0.000 0.213
0.500 0.000 0.787
0.500 0.500 0.213
0.500 0.500 0.787
0.667 0.333 0.500
0.333 0.667 0.000
0.667 0.333 0.000

---

[3]
Gd2FeB3, optimized geometry, DFT PBE; symmetry = R-3m; electronic total energy = -6.56 eV per atom
1.0
2.693 1.555 7.698
-2.693 1.555 7.698
0.000 -3.109 7.698
Gd Fe B
4 2 6
direct
0.083 0.083 0.083
0.249 0.249 0.249
0.751 0.751 0.751
0.917 0.917 0.917
0.383 0.383 0.383
0.617 0.617 0.617
0.000 0.333 0.667
0.000 0.667 0.333
0.333 0.000 0.667
0.333 0.667 0.000
0.667 0.000 0.333
0.667 0.333 0.000

---

[4]
GdFeB4, optimized geometry, DFT PBE; symmetry = P6/mmm; electronic total energy = -6.92 eV per atom
1.0
3.146 0.000 0.000
-1.573 2.725 0.000
0.000 0.000 6.640
Gd Fe B
1 1 4
direct
0.000 0.000 0.000
0.000 0.000 0.500
0.333 0.667 0.303
0.333 0.667 0.697
0.667 0.333 0.303
0.667 0.333 0.697

---

[5]
GdFeB4, optimized geometry, DFT PBE; symmetry = Immm; electronic total energy = -6.75 eV per atom
1.0
-1.576 2.662 3.587
1.576 -2.662 3.587
1.576 2.662 -3.587
Gd Fe B
1 1 4
direct
0.000 0.000 0.000
0.500 0.500 0.000
0.088 0.753 0.335
0.417 0.753 0.665
0.583 0.247 0.335
0.912 0.247 0.665

---

[6]
GdFe2GeB, optimized geometry, DFT PBE; symmetry = I4mm; electronic total energy = -6.91 eV per atom
1.0
-1.869 1.869 5.075
1.869 -1.869 5.075
1.869 1.869 -5.075
Gd Fe Ge B
1 2 1 1
direct
0.000 0.000 0.000
0.279 0.779 0.500
0.779 0.279 0.500
0.637 0.637 0.000
0.367 0.367 0.000